Below is a relaxed CrSnTe4 crystal, with properties calculated at the PBE level.

The structure in CIF format:
```
data_CrSnTe4
_chemical_formula_sum 'Cr4 Sn4 Te16'
_cell_length_a 7.539
_cell_length_b 8.708
_cell_length_c 11.639
_cell_angle_alpha 90.00
_cell_angle_beta 90.00
_cell_angle_gamma 90.00
_space_group_name_H-M_alt 'I m m a'
_space_group_IT_number 74
_space_group_name_Hall '-I 2b 2'
loop_
_atom_site_label
_atom_site_type_symbol
_atom_site_fract_x
_atom_site_fract_y
_atom_site_fract_z
Cr1 Cr 0.250 0.250 0.250
Sn1 Sn 0.000 0.000 0.000
Te1 Te 0.000 0.026 0.253
Te2 Te 0.222 0.250 0.482
```

Computed properties:
Crystal system = orthorhombic
Uncorrected formation energy = -0.85 eV/f.u.
Calculated volume = 764.09 Å³ per cell